DFT (GGA-PBE) results for an optimized crystal structure of Sc3PBr3.

Properties
Uncorrected energy (eV/cell): -79.76
Space-group type: R-3
Density of states at the Fermi level (states/eV/f.u.): 3.00
Energy relative to the elements, uncorrected (kJ/mol of atoms): -144.1

Cell lengths 6.4706, 6.4706, 10.7272 Å; angles 72.45, 72.45, 60.00 degrees
Sites, in units of the cell vectors:
P1 0.3333 0.3333 0.0000
Sc1 0.6118 0.9532 0.1403
Br1 0.2247 0.8958 0.3124
Sc2 0.2947 0.6118 0.1403
Br2 0.1042 0.4329 0.6876
P2 0.6667 0.6667 0.0000
Sc3 0.0468 0.7053 0.8597
Br3 0.7753 0.1042 0.6876
Br4 0.4329 0.7753 0.6876
Br5 0.8958 0.5671 0.3124
Sc4 0.9532 0.2947 0.1403
Sc5 0.3882 0.0468 0.8597
Br6 0.5671 0.2247 0.3124
Sc6 0.7053 0.3882 0.8597